Entry 1:
# PBE+U TlCoNO, relaxed
data_TlCoNO
_cell_length_a 3.574
_cell_length_b 5.926
_cell_length_c 5.585
_cell_angle_alpha 90.00
_cell_angle_beta 90.00
_cell_angle_gamma 90.00
_symmetry_space_group_name_H-M 'P m c 21'
_symmetry_Int_Tables_number 26
loop_
_symmetry_equiv_pos_as_xyz
'x,y,z'
'-x,-y,z+1/2'
'-x,y,z'
'x,-y,z+1/2'
loop_
_atom_site_label
_atom_site_fract_x
_atom_site_fract_y
_atom_site_fract_z
Tl1 0.000 0.188 0.000
Co1 0.500 0.341 0.506
N1 0.500 0.355 0.861
O1 0.000 0.192 0.418
# * crystal system: orthorhombic
# * DFT total energy: -5.16 eV/atom
# * energy relative to the lowest polymorph listed for this composition: 10 meV per atom
# * density: 8.2 g cm⁻³

Entry 2:
# PBE+U TlCoNO, relaxed
data_TlCoNO
_cell_length_a 4.078
_cell_length_b 4.078
_cell_length_c 7.401
_cell_angle_alpha 90.00
_cell_angle_beta 90.00
_cell_angle_gamma 90.00
_symmetry_space_group_name_H-M 'P 4/n m m'
_symmetry_Int_Tables_number 129
loop_
_symmetry_equiv_pos_as_xyz
'x,y,z'
'-x,-y,-z'
'-y+1/2,x,z'
'y+1/2,-x,-z'
'-x+1/2,-y+1/2,z'
'x+1/2,y+1/2,-z'
'y,-x+1/2,z'
'-y,x+1/2,-z'
'x+1/2,-y,-z'
'-x+1/2,y,z'
'-y,-x,-z'
'y,x,z'
'-x,y+1/2,-z'
'x,-y+1/2,z'
'y+1/2,x+1/2,-z'
'-y+1/2,-x+1/2,z'
loop_
_atom_site_label
_atom_site_fract_x
_atom_site_fract_y
_atom_site_fract_z
Tl1 0.250 0.750 0.000
Co1 0.250 0.250 0.440
N1 0.250 0.250 0.168
O1 0.250 0.750 0.500
# * crystal system: tetragonal
# * DFT total energy: -4.85 eV/atom
# * energy relative to the lowest polymorph listed for this composition: 317 meV per atom
# * density: 7.9 g cm⁻³